DFT (meta-GGA SCAN) results for a crystal of CuTcHg2 relaxed with PBEsol.

a = 4.063 Å, b = 4.063 Å, c = 8.052 Å
α = 90.00°, β = 90.00°, γ = 90.00°
Space group I-4m2 (No. 119)
Asymmetric unit:
Cu  0.000  0.000  0.000
Tc  0.000  0.500  0.750
Hg  0.000  0.000  0.500
Hg  0.000  0.500  0.250

- Formation enthalpy at 0 K: 0.62 eV per atom
- Distance to the lowest polymorph of the same formula: 144 meV/atom

DFT (meta-GGA SCAN) results for a crystal of Cu2TcHg relaxed with PBEsol.

a = 2.695 Å, b = 3.683 Å, c = 5.735 Å
α = 90.00°, β = 90.00°, γ = 90.00°
Space group Pmmm (No. 47)
Asymmetric unit:
Cu  0.000  0.000  0.223
Tc  0.500  0.500  0.000
Hg  0.500  0.500  0.500

- Formation enthalpy at 0 K: 0.40 eV per atom

DFT (meta-GGA SCAN) results for a crystal of Cu3HgTe relaxed with PBEsol.

a = 4.824 Å, b = 4.824 Å, c = 4.824 Å
α = 90.00°, β = 90.00°, γ = 90.00°
Space group Pm-3m (No. 221)
Asymmetric unit:
Cu  0.000  0.000  0.500
Hg  0.500  0.500  0.500
Te  0.000  0.000  0.000

- Electronic total energy: -29.594 eV/atom